No. 1
5
Lattice="2.760 0.000 0.000 0.000 2.760 0.000 -1.380 -1.380 7.899" Properties=species:S:1:pos:R:3 comment="Fe3Rh2 GGA-PBEsol optimized geometry" n_ef_per_ev_atom=1.191 polymorph_energy_kj_per_mol_atoms=0.0 spacegroup=I4/mmm pbc="T T T"
Rh 0.000 0.000 3.003
Rh 1.380 1.380 4.896
Fe 0.000 0.000 6.487
Fe 0.000 0.000 0.000
Fe 1.380 1.380 1.412

***

No. 2
8
Lattice="-1.009 -0.349 3.959 4.150 -1.507 0.924 1.576 4.846 0.828" Properties=species:S:1:pos:R:3 comment="FeRh GGA-PBEsol optimized geometry" n_ef_per_ev_atom=1.320 spacegroup=Pnma pbc="T T T"
Fe 4.464 2.593 4.551
Fe 2.728 0.872 1.833
Fe 1.989 2.118 3.879
Fe 0.253 0.397 1.161
Rh 3.593 0.180 4.116
Rh 3.587 3.249 2.262
Rh 1.130 -0.260 3.450
Rh 1.124 2.809 1.596

***

No. 3
4
Lattice="2.548 0.000 0.000 -0.849 4.681 0.000 -0.849 -2.340 4.054" Properties=species:S:1:pos:R:3 comment="Fe3Rh GGA-PBEsol optimized geometry" n_ef_per_ev_atom=0.778 spacegroup=R-3m pbc="T T T"
Rh 0.000 0.000 0.000
Fe 0.849 -1.170 2.027
Fe 0.849 2.340 0.000
Fe -0.849 1.170 2.027

***

No. 4
6
Lattice="4.014 0.000 0.000 2.007 4.301 0.052 2.007 1.657 4.379" Properties=species:S:1:pos:R:3 comment="FeRh GGA-PBEsol optimized geometry" n_ef_per_ev_atom=1.247 spacegroup=C2/m pbc="T T T"
Fe 4.014 3.676 3.718
Fe 0.000 0.000 0.000
Fe 4.014 2.282 0.713
Rh 4.014 4.734 1.422
Rh 2.007 2.979 2.215
Rh 4.014 1.225 3.009

***

No. 5
6
Lattice="2.788 0.000 0.000 0.000 4.237 0.000 0.000 -2.119 6.404" Properties=species:S:1:pos:R:3 comment="FeRh GGA-PBEsol optimized geometry" n_ef_per_ev_atom=1.212 spacegroup=Amm2 pbc="T T T"
Fe 0.000 2.119 6.273
Fe 1.394 2.119 4.402
Fe 1.394 2.119 0.046
Rh 0.000 2.119 2.334
Rh 0.000 0.000 4.284
Rh 1.394 0.000 1.872

***

No. 6
4
Lattice="2.653 0.000 0.000 0.000 3.684 0.000 0.000 0.000 5.304" Properties=species:S:1:pos:R:3 comment="FeRh3 GGA-PBEsol optimized geometry" n_ef_per_ev_atom=1.388 spacegroup=Pmmm pbc="T T T"
Rh 1.327 1.842 4.004
Rh 0.000 0.000 2.652
Rh 1.327 1.842 1.301
Fe 0.000 0.000 0.000

***

No. 7
12
Lattice="3.728 0.000 0.000 0.000 5.256 0.000 0.000 0.000 7.842" Properties=species:S:1:pos:R:3 comment="FeRh2 GGA-PBEsol optimized geometry" n_ef_per_ev_atom=1.385 spacegroup=Pnma pbc="T T T"
Fe 2.796 4.552 0.671
Fe 0.932 3.333 4.592
Fe 2.796 1.923 3.250
Fe 0.932 0.705 7.171
Rh 2.796 4.671 5.923
Rh 2.796 4.539 3.291
Rh 0.932 3.346 7.212
Rh 0.932 3.213 2.002
Rh 2.796 2.043 5.840
Rh 2.796 1.911 0.630
Rh 0.932 0.717 4.551
Rh 0.932 0.585 1.919

***

No. 8
6
Lattice="2.645 0.000 0.000 0.000 2.645 0.000 0.000 0.000 10.897" Properties=species:S:1:pos:R:3 comment="FeRh2 GGA-PBEsol optimized geometry" n_ef_per_ev_atom=1.480 spacegroup=P4/mmm pbc="T T T"
Fe 0.000 0.000 7.218
Fe 0.000 0.000 3.679
Rh 1.322 1.322 5.449
Rh 1.322 1.322 1.913
Rh 0.000 0.000 0.000
Rh 1.322 1.322 8.984

***

No. 9
6
Lattice="-3.117 0.888 1.721 -1.968 -1.746 -2.663 -0.721 -5.651 1.609" Properties=species:S:1:pos:R:3 comment="FeRh2 GGA-PBEsol optimized geometry" n_ef_per_ev_atom=1.304 spacegroup=Cmmm pbc="T T T"
Fe -0.809 -4.060 0.630
Fe -1.880 -3.338 -1.684
Rh -1.559 0.444 0.861
Rh -3.352 -4.477 0.151
Rh -0.984 -0.873 -1.331
Rh -2.454 -2.034 0.516

***

No. 10
4
Lattice="2.654 0.000 0.000 0.000 2.654 0.000 0.000 0.000 7.329" Properties=species:S:1:pos:R:3 comment="FeRh3 GGA-PBEsol optimized geometry" n_ef_per_ev_atom=1.227 spacegroup=P4/mmm pbc="T T T"
Rh 0.000 0.000 3.664
Rh 1.327 1.327 1.762
Rh 1.327 1.327 5.567
Fe 0.000 0.000 0.000

***

Formation energy from the elements? In order: 0.05, 0.05, 0.08, 0.08, 0.11, 0.01, 0.02, 0.02, 0.01, 0.00 eV/atom.